1.
This record from Alexandria via LeMat-Bulk describes a PBEsol-optimized structure of ScInAu2. The functional is SCAN.

DOS(E_F)	1.026	states/eV/f.u.
energy of formation from the pure elements	-0.72	eV/atom

Cell: 3.445 3.445 6.454 Å, 90.00 90.00 90.00°
Space group P4/mmm (No. 123)
One atom of each set of equivalent atoms:
Sc (0.000, 0.000, 0.000)
In (0.000, 0.000, 0.500)
Au (0.500, 0.500, 0.229)



2.
This record from Alexandria via LeMat-Bulk describes a PBEsol-optimized structure of MnZn2Os. The functional is SCAN.

DOS(E_F)	1.868	states/eV/f.u.
energy of formation from the pure elements	0.01	eV/atom
relative energy among the computed polymorphs	94	meV per atom

Cell: 5.273 7.728 2.619 Å, 90.00 90.00 90.00°
Space group Cmmm (No. 65)
One atom of each set of equivalent atoms:
Mn (0.000, 0.000, 0.000)
Zn (0.250, 0.250, 0.500)
Os (0.000, 0.500, 0.000)



3.
This record from Alexandria via LeMat-Bulk describes a PBEsol-optimized structure of K3YTl. The functional is SCAN.

DOS(E_F)	6.924	states/eV/f.u.
energy of formation from the pure elements	0.94	eV/atom

Cell: 6.883 6.883 6.883 Å, 90.00 90.00 90.00°
Space group Pm-3m (No. 221)
One atom of each set of equivalent atoms:
K (0.000, 0.000, 0.500)
Y (0.000, 0.000, 0.000)
Tl (0.500, 0.500, 0.500)



4.
This record from Alexandria via LeMat-Bulk describes a PBEsol-optimized structure of ZrF4. The functional is SCAN.

DOS(E_F)	0.000	states/eV/f.u.
E	-12.98	eV per atom

Cell: 5.573 5.598 7.944 Å, 90.00 106.10 90.00°
Space group P2_1/c (No. 14)
One atom of each set of equivalent atoms:
Zr (0.211, 0.166, 0.170)
F (0.004, 0.041, 0.708)
F (0.142, 0.657, 0.521)
F (0.314, 0.241, 0.452)
F (0.482, 0.043, 0.734)



5.
This record from Alexandria via LeMat-Bulk describes a PBEsol-optimized structure of In2MoPAu. The functional is SCAN.

DOS(E_F)	3.251	states/eV/f.u.
energy of formation from the pure elements	1.18	eV/atom

Cell: 5.215 5.215 4.858 Å, 90.00 90.00 90.00°
Space group P4/mmm (No. 123)
One atom of each set of equivalent atoms:
In (0.000, 0.500, 0.000)
Mo (0.000, 0.000, 0.000)
P (0.500, 0.500, 0.500)
Au (0.000, 0.000, 0.500)



6.
This record from Alexandria via LeMat-Bulk describes a PBEsol-optimized structure of BaCaTe2. The functional is SCAN.

relative energy among the computed polymorphs	447	meV per atom

Cell: 4.656 4.656 12.780 Å, 90.00 90.00 90.00°
Space group I-4m2 (No. 119)
One atom of each set of equivalent atoms:
Ba (0.000, 0.000, 0.000)
Ca (0.000, 0.500, 0.250)
Te (0.000, 0.000, 0.500)
Te (0.000, 0.500, 0.750)



7.
This record from Alexandria via LeMat-Bulk describes a PBEsol-optimized structure of YZr2As. The functional is SCAN.

DOS(E_F)	3.970	states/eV/f.u.
energy of formation from the pure elements	-0.40	eV/atom

Cell: 4.195 4.195 4.743 Å, 90.00 90.00 90.00°
Space group P4/mmm (No. 123)
One atom of each set of equivalent atoms:
Y (0.000, 0.000, 0.000)
Zr (0.000, 0.500, 0.500)
As (0.500, 0.500, 0.000)



8.
This record from Alexandria via LeMat-Bulk describes a PBEsol-optimized structure of HfTl3Sn. The functional is SCAN.

DOS(E_F)	3.956	states/eV/f.u.
energy of formation from the pure elements	0.55	eV/atom

Cell: 5.490 5.490 5.490 Å, 90.00 90.00 90.00°
Space group Pm-3m (No. 221)
One atom of each set of equivalent atoms:
Hf (0.000, 0.000, 0.000)
Tl (0.000, 0.000, 0.500)
Sn (0.500, 0.500, 0.500)



What magnetic moment values result from the calculations? In sequence: 0.000, 0.979, 0.922, 0.000, 0.448, 0.000, 0.000, 0.000 μB per atom.